# 1
3
Lattice="3.6629 -2.1148 0.0000 0.0000 4.2296 0.0000 0.0000 0.0000 3.0483" Properties=species:S:1:pos:R:3 comment="PBE MnCoSb, relaxed" sg=P-6m2 e_form_raw_ev_per_atom=0.16 pbc="T T T"
Sb 1.2210 2.1148 0.0000
Mn 2.4420 0.0000 1.5241
Co 0.0000 0.0000 0.0000



# 2
5
Lattice="6.2778 0.0000 0.0000 0.0000 6.2778 0.0000 0.0000 0.0000 6.4898" Properties=species:S:1:pos:R:3 comment="PBE SrTeOsI2, relaxed" sg=P4/mmm de_polymorph_ev_per_atom=1.024 e_form_raw_ev_per_atom=0.93 pbc="T T T"
I 0.0000 3.1389 0.0000
I 3.1389 0.0000 0.0000
Sr 0.0000 0.0000 0.0000
Te 0.0000 0.0000 3.2449
Os 3.1389 3.1389 3.2449



Copy entry 1 word for word.
3
Lattice="3.6629 -2.1148 0.0000 0.0000 4.2296 0.0000 0.0000 0.0000 3.0483" Properties=species:S:1:pos:R:3 comment="PBE MnCoSb, relaxed" sg=P-6m2 e_form_raw_ev_per_atom=0.16 pbc="T T T"
Sb 1.2210 2.1148 0.0000
Mn 2.4420 0.0000 1.5241
Co 0.0000 0.0000 0.0000